No. 1
VASP calculation (GGA-PBE) on crystalline Nd4IO10 at its relaxed geometry.

```
Nd4IO10
1.0
-2.233 0.975 -5.069
-3.512 -5.153 -2.564
-6.206 2.635 0.120
O Nd I
10 4 1
Direct
0.876 0.726 0.080 O
0.250 0.500 0.500 O
0.124 0.274 0.920 O
0.957 0.920 0.726 O
0.397 0.920 0.726 O
0.683 0.274 0.920 O
0.750 0.500 0.500 O
0.043 0.080 0.274 O
0.317 0.726 0.080 O
0.603 0.080 0.274 O
0.195 0.403 0.207 Nd
0.402 0.793 0.403 Nd
0.598 0.207 0.597 Nd
0.805 0.597 0.793 Nd
0.000 0.000 0.000 I
```

Properties
DFT total energy = -6.840 eV per atom
formation energy (no corrections) = -2160 meV per atom
size of the total moment = 0.041 μB per atom
space group = I4/m

=====

No. 2
VASP calculation (GGA-PBE) on crystalline FeTeAs2 at its relaxed geometry.

```
FeTeAs2
1.0
3.950 0.000 0.000
0.000 4.116 -0.241
0.000 0.253 5.432
Fe As Te
1 2 1
Direct
0.000 0.510 0.422 Fe
0.500 0.392 0.187 As
0.000 0.972 0.185 As
0.500 0.626 0.706 Te
```

Properties
DFT total energy = -5.063 eV per atom
formation energy (no corrections) = 163 meV per atom
size of the total moment = 0.001 μB per atom
space group = Pm

=====

No. 3
VASP calculation (GGA-PBE) on crystalline InOsCl2 at its relaxed geometry.

```
InOsCl2
1.0
-0.942 -0.135 5.255
-2.741 -2.388 3.912
3.741 -4.916 3.237
Cl In Os
2 1 1
Direct
0.738 0.738 0.660 Cl
0.894 0.894 0.090 Cl
0.569 0.569 0.375 In
0.299 0.299 0.375 Os
```

Properties
DFT total energy = -4.366 eV per atom
formation energy (no corrections) = 49 meV per atom
size of the total moment = 0.056 μB per atom
space group = Cm
energy relative to the lowest polymorph listed for this composition = 0.037 eV/atom

=====

No. 4
VASP calculation (GGA-PBE) on crystalline Pm3Sm2Y6 at its relaxed geometry.

```
Pm3Sm2Y6
1.0
4.776 0.000 0.000
0.000 4.776 0.000
-2.388 -2.388 16.796
Pm Y Sm
3 6 2
Direct
0.200 0.200 0.399 Pm
0.000 0.000 0.000 Pm
0.800 0.800 0.601 Pm
0.302 0.302 0.604 Y
0.379 0.879 0.758 Y
0.621 0.121 0.242 Y
0.879 0.379 0.758 Y
0.698 0.698 0.396 Y
0.121 0.621 0.242 Y
0.545 0.545 0.091 Sm
0.455 0.455 0.909 Sm
```

Properties
DFT total energy = -5.405 eV per atom
size of the total moment = 0.000 μB per atom
space group = I4/mmm
energy relative to the lowest polymorph listed for this composition = 0.084 eV/atom
energy of formation from the pure elements = 6.33 kcal/mol of atoms

=====

No. 5
VASP calculation (GGA-PBE) on crystalline SiTePtI at its relaxed geometry.

```
SiTePtI
1.0
-4.122 -3.858 -1.208
2.564 -2.618 -0.388
-0.839 -2.527 11.521
Te Pt I Si
2 2 2 2
Direct
0.058 0.000 0.370 Te
0.058 0.500 0.870 Te
0.741 0.500 0.296 Pt
0.741 0.000 0.796 Pt
0.514 0.000 0.582 I
0.514 0.500 0.082 I
0.522 0.500 0.857 Si
0.522 0.000 0.357 Si
```

Properties
DFT total energy = -4.107 eV per atom
formation energy (no corrections) = -68 meV per atom
size of the total moment = 0.000 μB per atom
space group = Cm
energy relative to the lowest polymorph listed for this composition = 0.242 eV/atom

=====

No. 6
VASP calculation (GGA-PBE) on crystalline LiTh2Tl3 at its relaxed geometry.

```
LiTh2Tl3
1.0
3.548 0.000 0.000
0.000 3.548 0.000
0.000 0.000 12.579
Tl Th Li
3 2 1
Direct
0.000 0.000 0.631 Tl
0.000 0.000 0.000 Tl
0.000 0.000 0.369 Tl
0.500 0.500 0.184 Th
0.500 0.500 0.816 Th
0.500 0.500 0.500 Li
```

Properties
DFT total energy = -4.146 eV per atom
size of the total moment = 0.000 μB per atom
space group = P4/mmm
energy relative to the lowest polymorph listed for this composition = 0.000 eV/atom
energy of formation from the pure elements = -3.94 kcal/mol of atoms

=====

No. 7
VASP calculation (GGA-PBE) on crystalline CaCe2ScSe4 at its relaxed geometry.

```
CaCe2ScSe4
1.0
4.088 0.000 0.000
0.000 7.103 0.134
0.000 -2.474 6.787
Ce Sc Se Ca
2 1 4 1
Direct
0.500 0.000 0.500 Ce
0.000 0.500 0.500 Ce
0.000 0.000 0.000 Sc
0.000 0.246 0.765 Se
0.500 0.235 0.229 Se
0.500 0.765 0.771 Se
0.000 0.754 0.235 Se
0.500 0.500 0.000 Ca
```

Properties
DFT total energy = -6.030 eV per atom
formation energy (no corrections) = -1762 meV per atom
size of the total moment = 0.309 μB per atom
space group = P2/m

=====

No. 8
VASP calculation (GGA-PBE) on crystalline TmTa2Fe9 at its relaxed geometry.

```
TmTa2Fe9
1.0
-0.457 4.562 -1.679
-2.973 3.146 2.259
4.780 4.859 4.801
Fe Ta Tm
9 2 1
Direct
0.334 0.334 0.999 Fe
0.588 0.588 0.741 Fe
0.666 0.666 0.001 Fe
0.412 0.918 0.259 Fe
0.082 0.588 0.741 Fe
0.588 0.082 0.741 Fe
0.918 0.412 0.259 Fe
0.412 0.412 0.259 Fe
0.500 0.500 0.500 Fe
0.144 0.144 0.569 Ta
0.856 0.856 0.431 Ta
0.000 0.000 0.000 Tm
```

Properties
DFT total energy = -8.851 eV per atom
size of the total moment = 1.314 μB per atom
space group = R-3m
energy of formation from the pure elements = -3.60 kcal/mol of atoms

=====

No. 9
VASP calculation (GGA-PBE) on crystalline RuW2Br at its relaxed geometry.

```
RuW2Br
1.0
5.372 0.015 -0.031
2.700 4.750 -0.037
-3.541 -3.296 2.546
W Br Ru
2 1 1
Direct
0.519 0.514 0.005 W
0.981 0.986 0.995 W
0.750 0.250 0.500 Br
0.250 0.750 0.500 Ru
```

Properties
DFT total energy = -8.316 eV per atom
formation energy (no corrections) = 898 meV per atom
size of the total moment = 0.000 μB per atom
space group = C2/m
energy relative to the lowest polymorph listed for this composition = 0.408 eV/atom

=====

No. 10
VASP calculation (GGA-PBE) on crystalline TlTcMo2 at its relaxed geometry.

```
TlTcMo2
1.0
-0.729 -8.917 3.330
1.416 -7.976 5.051
-1.354 -7.478 5.776
Mo Tl Tc
2 1 1
Direct
0.494 0.494 0.494 Mo
0.006 0.006 0.006 Mo
0.250 0.250 0.250 Tl
0.750 0.750 0.750 Tc
```

Properties
DFT total energy = -8.078 eV per atom
size of the total moment = 0.000 μB per atom
space group = R-3m
energy relative to the lowest polymorph listed for this composition = 0.107 eV/atom
energy of formation from the pure elements = 12.01 kcal/mol of atoms

=====

No. 11
VASP calculation (GGA-PBE) on crystalline VFe3Co2 at its relaxed geometry.

```
VFe3Co2
1.0
2.882 0.000 0.000
-1.441 7.193 -0.635
0.000 -3.807 7.052
Fe Co V
6 4 2
Direct
0.084 0.169 0.458 Fe
0.916 0.831 0.542 Fe
0.250 0.500 0.375 Fe
0.418 0.837 0.294 Fe
0.582 0.163 0.706 Fe
0.750 0.500 0.625 Fe
0.750 0.500 0.131 Co
0.250 0.500 0.869 Co
0.582 0.164 0.201 Co
0.418 0.836 0.799 Co
0.913 0.826 0.049 V
0.087 0.174 0.951 V
```

Properties
DFT total energy = -8.172 eV per atom
size of the total moment = 1.548 μB per atom
space group = C2/m
energy of formation from the pure elements = -1.20 kcal/mol of atoms

=====

No. 12
VASP calculation (GGA-PBE) on crystalline KDyMg4 at its relaxed geometry.

```
KDyMg4
1.0
6.259 0.000 0.000
3.130 5.421 0.000
3.130 1.807 5.111
Mg K Dy
4 1 1
Direct
0.626 0.626 0.626 Mg
0.121 0.626 0.626 Mg
0.626 0.121 0.626 Mg
0.626 0.626 0.121 Mg
0.250 0.250 0.250 K
0.000 0.000 0.000 Dy
```

Properties
DFT total energy = -1.875 eV per atom
size of the total moment = 0.000 μB per atom
space group = F-43m
energy of formation from the pure elements = 3.19 kcal/mol of atoms